Record 1
A relaxed KHf2TlCu crystal, computed with PBE.

Geometry as CIF:
```
data_KHf2TlCu
_chemical_formula_sum 'K1 Hf2 Tl1 Cu1'
_cell_length_a 5.5085
_cell_length_b 5.5085
_cell_length_c 5.0717
_cell_angle_alpha 90.00
_cell_angle_beta 90.00
_cell_angle_gamma 90.00
_symmetry_space_group_name_H-M 'P 4/m m m'
_symmetry_Int_Tables_number 123
_symmetry_space_group_name_Hall '-P 4 2'
loop_
_atom_site_label
_atom_site_fract_x
_atom_site_fract_y
_atom_site_fract_z
K1 0.0000 0.0000 0.0000
Hf1 0.0000 0.5000 0.5000
Tl1 0.5000 0.5000 0.5000
Cu1 0.5000 0.5000 0.0000
```


Record 2
A relaxed Na2Tl8Pt crystal, computed with PBE.

Geometry as CIF:
```
data_Na2Tl8Pt
_chemical_formula_sum 'Na2 Tl8 Pt1'
_cell_length_a 4.8982
_cell_length_b 4.8982
_cell_length_c 12.8037
_cell_angle_alpha 90.00
_cell_angle_beta 90.00
_cell_angle_gamma 90.00
_symmetry_space_group_name_H-M 'P 4/m m m'
_symmetry_Int_Tables_number 123
_symmetry_space_group_name_Hall '-P 4 2'
loop_
_atom_site_label
_atom_site_fract_x
_atom_site_fract_y
_atom_site_fract_z
Na1 0.0000 0.0000 0.1908
Tl1 0.0000 0.5000 0.0000
Tl2 0.0000 0.5000 0.3736
Tl3 0.5000 0.5000 0.1845
Pt1 0.0000 0.0000 0.5000
```


no.,calculated formation energy (eV per atom)
1,1.322
2,-0.081